10
Lattice="-1.752 -5.627 -0.086 1.599 -0.533 5.384 -4.899 -1.908 4.760" Properties=species:S:1:pos:R:3 comment="K2CoSbF6 GGA+U optimized geometry" energy_ev_per_atom=-4.547 mass_density_g_cm3=3.5 vol_a3_per_atom=17.82 sg=P-1 pbc="T T T"
K -3.402 -5.221 3.794
K -1.650 -2.847 6.264
Co 0.000 0.000 0.000
Sb -0.077 -3.080 2.649
F -3.479 -2.405 3.489
F -0.822 -4.505 4.138
F 0.098 -1.707 4.365
F -5.150 -6.362 5.693
F -4.230 -3.563 5.920
F -1.573 -5.663 6.569